Material: CaPr5Dy
Method: DFT, GGA-PBE
State: optimized geometry

The total moment comes out at 0.0 μB/f.u.

Unit cell a=5.5138 b=5.5138 c=8.8157 alpha=90.00 beta=90.00 gamma=90.00
Space group P4/mmm (No. 123)
Symmetry-distinct sites (fractional):
Ca  0.0000  0.0000  0.0000 [1 per cell]
Pr  0.0000  0.5000  0.2851 [4 per cell]
Pr  0.5000  0.5000  0.0000 [1 per cell]
Dy  0.0000  0.0000  0.5000 [1 per cell]

---

Material: CaPr3Dy4
Method: DFT, GGA-PBE
State: optimized geometry

The total moment comes out at 0.0 μB/f.u.

Unit cell a=26.5345 b=5.7874 c=3.6373 alpha=90.00 beta=90.14 gamma=90.00
Space group C2/m (No. 12)
Symmetry-distinct sites (fractional):
Ca  0.0000  0.0000  0.0000 [2 per cell]
Pr  0.0000  0.5000  0.5000 [2 per cell]
Pr  0.1543  0.5000  0.0003 [4 per cell]
Dy  0.1049  0.0000  0.5018 [4 per cell]
Dy  0.2240  0.0000  0.4977 [4 per cell]

---

Asked for ΔH_f (0 K) across the records above, the calculation gives 0.289, 0.224 eV/atom in order.